In3TcN | meta-GGA SCAN | PBEsol geometry

```
In3TcN
1.0
5.1313 0.0000 0.0000
0.0000 5.1313 0.0000
0.0000 0.0000 5.1313
N In Tc
1 3 1
Direct
0.5000 0.5000 0.5000 N
0.0000 0.0000 0.5000 In
0.5000 0.0000 0.0000 In
0.0000 0.5000 0.0000 In
0.0000 0.0000 0.0000 Tc
```

Calculated volume (A^3/atom): 27.0
Calculated density (g cm⁻³): 5.61
Energy relative to the elements, uncorrected (eV per atom): 1.112
Total DFT energy (no corrections) (eV/atom): -27.790



ZnInTe2N | meta-GGA SCAN | PBEsol geometry

```
ZnInTe2N
1.0
3.9293 0.0000 0.0000
0.0000 5.8036 0.0000
0.0000 0.0000 5.8036
N In Te Zn
1 1 2 1
Direct
0.5000 0.0000 0.0000 N
0.0000 0.0000 0.0000 In
0.0000 0.0000 0.5000 Te
0.0000 0.5000 0.0000 Te
0.5000 0.5000 0.5000 Zn
```

Calculated volume (A^3/atom): 26.5
Calculated density (g cm⁻³): 5.64
Energy relative to the elements, uncorrected (eV per atom): 0.939
Total DFT energy (no corrections) (eV/atom): -25.200



YTlIn2N | meta-GGA SCAN | PBEsol geometry

```
YTlIn2N
1.0
-3.9010 -4.0212 -1.8228
-1.1511 -1.4219 5.6003
-4.2654 4.0673 0.1559
Y N In Tl
1 1 2 1
Direct
0.0000 0.0000 0.0000 Y
0.5000 0.5000 0.5000 N
0.0000 0.5000 0.0000 In
0.5000 0.0000 0.0000 In
0.0000 0.0000 0.5000 Tl
```

Calculated volume (A^3/atom): 40.9
Calculated density (g cm⁻³): 4.36
Energy relative to the elements, uncorrected (eV per atom): 1.418
Total DFT energy (no corrections) (eV/atom): -33.835



Tm3InN | meta-GGA SCAN | PBEsol geometry

```
Tm3InN
1.0
4.6681 0.0000 0.0000
0.0000 4.6681 0.0000
0.0000 0.0000 4.6681
Tm N In
3 1 1
Direct
0.5000 0.5000 0.0000 Tm
0.5000 0.0000 0.5000 Tm
0.0000 0.5000 0.5000 Tm
0.5000 0.5000 0.5000 N
0.0000 0.0000 0.0000 In
```

Calculated volume (A^3/atom): 20.3
Calculated density (g cm⁻³): 10.38
Energy relative to the elements, uncorrected (eV per atom): -1.234
Total DFT energy (no corrections) (eV/atom): -40.869



YInN2 | meta-GGA SCAN | PBEsol geometry

```
YInN2
1.0
3.5075 0.0000 0.0000
1.7537 3.0376 0.0000
1.7537 1.0125 6.4083
N In Y
2 1 1
Direct
0.1114 0.1114 0.6658 N
0.8886 0.8886 0.3342 N
0.5000 0.5000 0.5000 In
0.0000 0.0000 0.0000 Y
```

Calculated volume (A^3/atom): 17.1
Calculated density (g cm⁻³): 5.64
Energy relative to the elements, uncorrected (eV per atom): 0.299
Total DFT energy (no corrections) (eV/atom): -19.654



YInN2 | meta-GGA SCAN | PBEsol geometry

```
YInN2
1.0
5.0934 0.0000 0.0000
0.0000 5.0934 0.0000
-2.5467 -2.5467 5.1271
In N Y
2 4 2
Direct
0.2500 0.7500 0.5000 In
0.0000 0.0000 0.0000 In
0.6250 0.6354 0.7500 N
0.1250 0.1146 0.7500 N
0.3646 0.8750 0.2500 N
0.8854 0.3750 0.2500 N
0.7500 0.2500 0.5000 Y
0.5000 0.5000 0.0000 Y
```

Calculated volume (A^3/atom): 16.6
Calculated density (g cm⁻³): 5.79
Energy relative to the elements, uncorrected (eV per atom): -0.870
Total DFT energy (no corrections) (eV/atom): -20.822



Na3In | meta-GGA SCAN | PBEsol geometry

```
Na3In
1.0
-1.7674 -4.1262 -1.7337
3.9808 -0.5973 -2.6365
0.9840 -0.0940 5.8983
Na In
3 1
Direct
0.5000 0.5000 0.0000 Na
0.7500 0.2500 0.5000 Na
0.2500 0.7500 0.5000 Na
0.0000 0.0000 0.0000 In
```

Calculated volume (A^3/atom): 28.5
Calculated density (g cm⁻³): 2.68
Total DFT energy (no corrections) (eV/atom): -11.619



Na3In | meta-GGA SCAN | PBEsol geometry

```
Na3In
1.0
-0.9787 -2.9678 4.4501
-1.6606 -5.1556 -0.4813
3.3458 -4.0707 1.3433
Na In
3 1
Direct
0.7500 0.7500 0.7500 Na
0.0000 0.0000 0.0000 Na
0.2500 0.2500 0.2500 Na
0.5000 0.5000 0.5000 In
```

Calculated volume (A^3/atom): 28.4
Calculated density (g cm⁻³): 2.68
Total DFT energy (no corrections) (eV/atom): -11.617